(1)
4
Lattice="0.0000 3.1904 3.1904 3.1904 0.0000 3.1904 3.1904 3.1904 0.0000" Properties=species:S:1:pos:R:3 comment="GGA-PBE YBeFeSb, optimized geometry" de_polymorph_ev_per_fu=0.00 magmom_total_mub_per_cell=0.001 dft_energy_ev_per_atom=-5.575 space_group=F-43m mass_density_g_cm3=7.0 pbc="T T T"
Y 0.0000 0.0000 0.0000
Be 1.5952 1.5952 1.5952
Fe 4.7857 4.7857 4.7857
Sb 3.1904 3.1904 3.1904

---

(2)
4
Lattice="0.0000 3.2629 3.2629 3.2629 0.0000 3.2629 3.2629 3.2629 0.0000" Properties=species:S:1:pos:R:3 comment="GGA-PBE YBeFeSb, optimized geometry" de_polymorph_ev_per_fu=0.55 magmom_total_mub_per_cell=0.909 dft_energy_ev_per_atom=-5.438 space_group=F-43m mass_density_g_cm3=6.6 pbc="T T T"
Y 0.0000 0.0000 0.0000
Be 4.8944 4.8944 4.8944
Fe 3.2629 3.2629 3.2629
Sb 1.6315 1.6315 1.6315

---

(3)
4
Lattice="0.0000 3.0248 3.0248 3.0248 0.0000 3.0248 3.0248 3.0248 0.0000" Properties=species:S:1:pos:R:3 comment="GGA-PBE BeZnFeSb, optimized geometry" de_polymorph_ev_per_fu=0.00 magmom_total_mub_per_cell=0.302 dft_energy_ev_per_atom=-3.882 space_group=F-43m mass_density_g_cm3=7.6 pbc="T T T"
Be 0.0000 0.0000 0.0000
Zn 4.5372 4.5372 4.5372
Fe 3.0248 3.0248 3.0248
Sb 1.5124 1.5124 1.5124